No. 1
29
Lattice="-5.215 5.215 5.215 5.215 -5.215 5.215 5.215 5.215 -5.215" Properties=species:S:1:pos:R:3 comment="LiMg16Al12 (SCAN, single point on PBEsol structure)" e_form_ev_per_atom=-0.03 final_energy_ev_per_atom=-6.063 magnetic_moment_mub_per_cell=0.000 dos_ef_per_ev_cell=10.65 pbc="T T T"
Li 0.000 0.000 0.000
Mg 3.445 3.445 -3.445
Mg 5.657 1.486 -1.486
Mg 3.445 -3.445 3.445
Mg 5.657 -1.486 1.486
Mg 4.772 1.486 1.486
Mg 3.728 3.728 -0.443
Mg 3.728 -0.443 3.728
Mg 1.769 1.769 1.769
Mg 1.486 5.657 -1.486
Mg 1.486 -1.486 5.657
Mg 1.486 4.772 1.486
Mg 1.486 1.486 4.772
Mg -3.445 3.445 3.445
Mg -1.486 5.657 1.486
Mg -1.486 1.486 5.657
Mg -0.443 3.728 3.728
Al 2.888 0.948 -0.948
Al 2.888 -0.948 0.948
Al 7.541 0.948 0.948
Al 0.948 2.888 -0.948
Al 0.948 -0.948 2.888
Al -0.948 2.888 0.948
Al -0.948 0.948 2.888
Al 4.267 4.267 2.326
Al 4.267 2.326 4.267
Al 0.948 7.541 0.948
Al 0.948 0.948 7.541
Al 2.326 4.267 4.267



No. 2
5
Lattice="5.742 0.000 0.000 0.000 5.742 0.000 0.000 0.000 5.742" Properties=species:S:1:pos:R:3 comment="Ba3AsCl (SCAN, single point on PBEsol structure)" final_energy_ev_per_atom=-30.274 magnetic_moment_mub_per_cell=0.000 dos_ef_per_ev_cell=3.09 raw_formation_energy_ev_per_atom=-0.910 pbc="T T T"
Ba 0.000 0.000 2.871
Ba 0.000 2.871 0.000
Ba 2.871 0.000 0.000
As 2.871 2.871 2.871
Cl 0.000 0.000 0.000



No. 3
4
Lattice="3.619 0.000 0.000 0.000 3.597 0.000 -0.716 0.000 7.174" Properties=species:S:1:pos:R:3 comment="La2FeSe (SCAN, single point on PBEsol structure)" final_energy_ev_per_atom=-31.843 magnetic_moment_mub_per_cell=0.923 dos_ef_per_ev_cell=2.52 raw_formation_energy_ev_per_atom=-0.739 pbc="T T T"
La 0.035 0.000 1.895
La 2.868 0.000 5.278
Fe 1.451 1.799 3.587
Se 1.809 1.799 0.000